Compound: Tl2Tc2Os
Source: Alexandria
Functional: PBE
Structure: relaxed

abc: 5.271 5.271 5.271
angles: 118.79 118.79 92.11
Fractional coordinates of all 5 atoms:
Tl 0.250 0.750 0.500
Tl 0.750 0.250 0.500
Tc 0.153 0.153 0.000
Tc 0.847 0.847 0.000
Os 0.500 0.500 0.000

Volume in Å³/atom: 21.07
Energy relative to the elements in eV/atom: 1.423
Spin magnetization in μB/atom: 0.574
E in eV per formula unit: -29.58

***

Compound: TlTc2Os
Source: Alexandria
Functional: PBE
Structure: relaxed

abc: 4.516 4.516 4.516
angles: 60.00 60.00 60.00
Fractional coordinates of all 4 atoms:
Tl 0.000 0.000 0.000
Tc 0.250 0.250 0.250
Tc 0.750 0.750 0.750
Os 0.500 0.500 0.500

Volume in Å³/atom: 16.29
Energy relative to the elements in eV/atom: 0.805
Spin magnetization in μB/atom: 0.000
E in eV per formula unit: -31.11

***

Compound: TlTc2Os
Source: Alexandria
Functional: PBE
Structure: relaxed

abc: 4.892 4.892 4.965
angles: 100.60 100.60 34.62
Fractional coordinates of all 4 atoms:
Tl 0.000 0.000 0.000
Tc 0.236 0.236 0.709
Tc 0.764 0.764 0.291
Os 0.500 0.500 0.500

Volume in Å³/atom: 16.56
Energy relative to the elements in eV/atom: 0.625
Spin magnetization in μB/atom: 0.000
E in eV per formula unit: -31.83